No. 1
Here is a PBEsol-optimized structure of LiRe4Ru from the Alexandria database. Energies are from meta-GGA SCAN.

Lattice parameters (Å, degrees): 5.088 5.088 5.088 60.00 60.00 60.00
Fractional coordinates of all 6 atoms:
1 Re 0.374 0.878 0.374
2 Re 0.878 0.374 0.374
3 Re 0.374 0.374 0.878
4 Re 0.374 0.374 0.374
5 Ru 0.750 0.750 0.750
6 Li 0.000 0.000 0.000

Properties
Energy of formation from the pure elements (kcal/mol of atoms): 10.2
Raw total energy (Ha/atom): -1.9536

=====

No. 2
Here is a PBEsol-optimized structure of KCd2Hg from the Alexandria database. Energies are from meta-GGA SCAN.

Lattice parameters (Å, degrees): 5.267 5.283 5.265 120.11 120.01 90.00
Fractional coordinates of all 4 atoms:
1 Hg 0.501 0.501 0.002
2 Cd 0.999 0.999 0.998
3 Cd 0.250 0.750 0.500
4 K 0.750 0.250 0.500

Properties
Energy of formation from the pure elements (kcal/mol of atoms): -1.7
Raw total energy (Ha/atom): -1.2644

=====

No. 3
Here is a PBEsol-optimized structure of LiRuW2 from the Alexandria database. Energies are from meta-GGA SCAN.

Lattice parameters (Å, degrees): 3.031 4.290 5.128 114.72 107.19 90.00
Fractional coordinates of all 4 atoms:
1 Ru 0.000 0.500 0.000
2 W 0.739 0.739 0.478
3 W 0.261 0.261 0.522
4 Li 0.500 0.000 0.000

Properties
Energy of formation from the pure elements (kcal/mol of atoms): 6.0
Raw total energy (Ha/atom): -1.6129

=====

No. 4
Here is a PBEsol-optimized structure of Cd2OsSe from the Alexandria database. Energies are from meta-GGA SCAN.

Lattice parameters (Å, degrees): 3.947 3.947 5.293 111.89 111.89 90.00
Fractional coordinates of all 4 atoms:
1 Cd 0.750 0.250 0.500
2 Cd 0.250 0.750 0.500
3 Os 0.500 0.500 0.000
4 Se 0.000 0.000 0.000

Properties
Raw total energy (Ha/atom): -1.3780
E_form (uncorrected) (meV/atom): 698.5

=====

No. 5
Here is a PBEsol-optimized structure of Li2SbBr from the Alexandria database. Energies are from meta-GGA SCAN.

Lattice parameters (Å, degrees): 3.265 4.416 6.168 90.00 90.00 89.98
Fractional coordinates of all 4 atoms:
1 Li 0.739 0.376 0.500
2 Li 0.029 0.875 0.000
3 Sb 0.516 0.375 0.000
4 Br 0.216 0.875 0.500

Properties
Raw total energy (Ha/atom): -0.5904
E_form (uncorrected) (meV/atom): -691.0

=====

No. 6
Here is a PBEsol-optimized structure of KSrFe from the Alexandria database. Energies are from meta-GGA SCAN.

Lattice parameters (Å, degrees): 3.693 3.693 8.307 102.84 102.84 90.00
Fractional coordinates of all 3 atoms:
1 Fe 0.988 0.988 0.975
2 K 0.636 0.636 0.272
3 Sr 0.376 0.376 0.752

Properties
Energy of formation from the pure elements (kcal/mol of atoms): 17.1
Raw total energy (Ha/atom): -0.5698